[1]
Density functional theory data (PBE) for CaVRh2N after structural relaxation.

- spin magnetization (μB per formula unit) = 0.4
- final energy (eV per atom) = -6.9613
- SG = No. 123

a = 4.3517 Å, b = 4.3517 Å, c = 3.8813 Å
α = 90.00°, β = 90.00°, γ = 90.00°
Closest atoms and distances in Å follow each position.
Element x y z (fractional)
Ca (0.0000, 0.0000, 0.0000)  8 Rh 2.92, 4 V 3.08
V (0.5000, 0.5000, 0.0000)  2 N 1.94
Rh (0.0000, 0.5000, 0.5000)  2 N 2.18
Rh (0.5000, 0.0000, 0.5000)  2 N 2.18
N (0.5000, 0.5000, 0.5000)  2 V 1.94

[2]
Density functional theory data (PBE) for Ca2RhWN after structural relaxation.

- spin magnetization (μB per formula unit) = 4.0
- final energy (eV per atom) = -5.6124
- SG = No. 123

a = 5.6771 Å, b = 5.6771 Å, c = 3.6947 Å
α = 90.00°, β = 90.00°, γ = 90.00°
Closest atoms and distances in Å follow each position.
Element x y z (fractional)
Ca (0.0000, 0.5000, 0.0000)  2 Rh 2.84
Ca (0.5000, 0.0000, 0.0000)  2 Rh 2.84
Rh (0.0000, 0.0000, 0.0000)  2 N 1.85
W (0.5000, 0.5000, 0.5000)  8 Ca 3.39, 2 W 3.69
N (0.0000, 0.0000, 0.5000)  2 Rh 1.85